First-principles (PBE with a Hubbard U) data for an optimized crystal structure of LiPu2MoO8, as listed in the Alexandria database.

Unit cell a=4.793 b=4.793 c=6.850 alpha=90.00 beta=90.00 gamma=90.71
Sites, in units of the cell vectors:
Li 0.000 0.000 0.000
Pu 0.500 0.500 0.247
Pu 0.500 0.500 0.753
Mo 0.000 0.000 0.500
O 0.200 0.200 0.270
O 0.200 0.200 0.730
O 0.294 0.706 0.500
O 0.314 0.686 0.000
O 0.686 0.314 0.000
O 0.706 0.294 0.500
O 0.800 0.800 0.270
O 0.800 0.800 0.730

Energy: -8.758 eV/atom
Calculated density: 7587 kg/m3
Symmetry: Cmmm, No. 65
Volume: 13.11 A^3/atom
Spin magnetization: 7.0 μB per formula unit